# Tb2AlAu

An optimized crystal structure of Tb2AlAu (GGA-PBE, Alexandria).

```
data_Tb2AlAu
_space_group_name_H-M_alt 'P 1'
_space_group_IT_number 1
_space_group_name_Hall 'P 1'
_cell_length_a 3.5703
_cell_length_b 3.5703
_cell_length_c 7.4963
_cell_angle_alpha 90.00
_cell_angle_beta 90.00
_cell_angle_gamma 90.00
loop_
_atom_site_label
_atom_site_fract_x
_atom_site_fract_y
_atom_site_fract_z
Tb1 0.0000 0.0000 0.7562
Tb2 0.0000 0.0000 0.2438
Al1 0.5000 0.5000 0.5000
Au1 0.5000 0.5000 0.0000
```

Properties
As for the spin magnetization: 0.00 μB/f.u. The calculation puts the volume at 23.89 Å³/atom. Its density of states at the Fermi level is 0.564 states/eV per atom. The formation energy from the elements comes out at -609.7 meV per atom. The total DFT energy (no corrections) is -18.7 eV per cell.



# Sr3Pm4Pt4

An optimized crystal structure of Sr3Pm4Pt4 (GGA-PBE, Alexandria).

```
data_Sr3Pm4Pt4
_space_group_name_H-M_alt 'P 1'
_space_group_IT_number 1
_space_group_name_Hall 'P 1'
_cell_length_a 4.2142
_cell_length_b 9.1303
_cell_length_c 9.6595
_cell_angle_alpha 118.20
_cell_angle_beta 102.60
_cell_angle_gamma 90.00
loop_
_atom_site_label
_atom_site_fract_x
_atom_site_fract_y
_atom_site_fract_z
Sr1 0.8989 0.8989 0.7978
Sr2 0.1011 0.1011 0.2022
Sr3 0.0000 0.5000 0.0000
Pt1 0.2360 0.7360 0.4721
Pt2 0.5000 0.2201 0.0000
Pt3 0.7640 0.2640 0.5279
Pt4 0.5000 0.7799 0.0000
Pm1 0.6688 0.8607 0.3377
Pm2 0.6688 0.4769 0.3377
Pm3 0.3312 0.1393 0.6623
Pm4 0.3312 0.5231 0.6623
```

Properties
As for the spin magnetization: 0.00 μB/f.u. The calculation puts the volume at 28.85 Å³/atom. Its density of states at the Fermi level is 0.851 states/eV per atom. The formation energy from the elements comes out at -754.9 meV per atom. The total DFT energy (no corrections) is -56.5 eV per cell.



# Sm2MgAg

An optimized crystal structure of Sm2MgAg (GGA-PBE, Alexandria).

```
data_Sm2MgAg
_space_group_name_H-M_alt 'P 1'
_space_group_IT_number 1
_space_group_name_Hall 'P 1'
_cell_length_a 5.3456
_cell_length_b 5.3456
_cell_length_c 5.3456
_cell_angle_alpha 60.00
_cell_angle_beta 60.00
_cell_angle_gamma 60.00
loop_
_atom_site_label
_atom_site_fract_x
_atom_site_fract_y
_atom_site_fract_z
Ag1 0.5000 0.5000 0.5000
Mg1 0.0000 0.0000 0.0000
Sm1 0.2500 0.2500 0.2500
Sm2 0.7500 0.7500 0.7500
```

Properties
As for the spin magnetization: 0.00 μB/f.u. The calculation puts the volume at 27.00 Å³/atom. Its density of states at the Fermi level is 1.138 states/eV per atom. The formation energy from the elements comes out at -138.6 meV per atom. The total DFT energy (no corrections) is -14.4 eV per cell.



# Ti8CO2

An optimized crystal structure of Ti8CO2 (GGA-PBE, Alexandria).

```
data_Ti8CO2
_space_group_name_H-M_alt 'P 1'
_space_group_IT_number 1
_space_group_name_Hall 'P 1'
_cell_length_a 4.5458
_cell_length_b 5.8703
_cell_length_c 5.8703
_cell_angle_alpha 74.04
_cell_angle_beta 88.72
_cell_angle_gamma 88.72
loop_
_atom_site_label
_atom_site_fract_x
_atom_site_fract_y
_atom_site_fract_z
Ti1 0.7275 0.8288 0.8288
Ti2 0.7659 0.9018 0.3185
Ti3 0.2341 0.6815 0.0982
Ti4 0.7513 0.3819 0.3819
Ti5 0.7659 0.3185 0.9018
Ti6 0.2487 0.6181 0.6181
Ti7 0.2725 0.1712 0.1712
Ti8 0.2341 0.0982 0.6815
O1 0.2552 0.3902 0.3902
O2 0.7448 0.6098 0.6098
C1 0.0000 0.0000 0.0000
```

Properties
As for the spin magnetization: 0.00 μB/f.u. The calculation puts the volume at 13.69 Å³/atom. Its uncorrected formation energy is -1143.5 meV/atom. Its density of states at the Fermi level is 0.567 states/eV per atom. The total DFT energy (no corrections) is -94.9 eV per cell.



# Rb3TlTe4

An optimized crystal structure of Rb3TlTe4 (GGA-PBE, Alexandria).

```
data_Rb3TlTe4
_space_group_name_H-M_alt 'P 1'
_space_group_IT_number 1
_space_group_name_Hall 'P 1'
_cell_length_a 5.5047
_cell_length_b 7.0150
_cell_length_c 10.9645
_cell_angle_alpha 108.66
_cell_angle_beta 104.54
_cell_angle_gamma 90.00
loop_
_atom_site_label
_atom_site_fract_x
_atom_site_fract_y
_atom_site_fract_z
Te1 0.6245 0.4233 0.2490
Te2 0.3755 0.5767 0.7510
Te3 0.6245 0.8257 0.2490
Te4 0.3755 0.1743 0.7510
Rb1 0.7997 0.7997 0.5995
Rb2 0.0000 0.5000 0.0000
Rb3 0.2003 0.2003 0.4005
Tl1 0.5000 0.0000 0.0000
```

Properties
As for the spin magnetization: 0.00 μB/f.u. The calculation puts the volume at 48.35 Å³/atom. Its uncorrected formation energy is -657.3 meV/atom. Its density of states at the Fermi level is 0.087 states/eV per atom. The total DFT energy (no corrections) is -23.1 eV per cell.



# AcAl6Au

An optimized crystal structure of AcAl6Au (GGA-PBE, Alexandria).

```
data_AcAl6Au
_space_group_name_H-M_alt 'P 1'
_space_group_IT_number 1
_space_group_name_Hall 'P 1'
_cell_length_a 4.5036
_cell_length_b 4.5036
_cell_length_c 8.2840
_cell_angle_alpha 90.00
_cell_angle_beta 90.00
_cell_angle_gamma 90.00
loop_
_atom_site_label
_atom_site_fract_x
_atom_site_fract_y
_atom_site_fract_z
Al1 0.5000 0.0000 0.3296
Al2 0.5000 0.5000 0.1553
Al3 0.0000 0.5000 0.3296
Al4 0.0000 0.5000 0.6704
Al5 0.5000 0.5000 0.8447
Al6 0.5000 0.0000 0.6704
Ac1 0.0000 0.0000 0.0000
Au1 0.0000 0.0000 0.5000
```

Properties
As for the spin magnetization: 0.00 μB/f.u. The calculation puts the volume at 21.00 Å³/atom. Its density of states at the Fermi level is 0.124 states/eV per atom. The formation energy from the elements comes out at -371.3 meV per atom. The total DFT energy (no corrections) is -32.8 eV per cell.



# BaSc4Ta

An optimized crystal structure of BaSc4Ta (GGA-PBE, Alexandria).

```
data_BaSc4Ta
_space_group_name_H-M_alt 'P 1'
_space_group_IT_number 1
_space_group_name_Hall 'P 1'
_cell_length_a 6.0946
_cell_length_b 6.0946
_cell_length_c 6.0946
_cell_angle_alpha 60.00
_cell_angle_beta 60.00
_cell_angle_gamma 60.00
loop_
_atom_site_label
_atom_site_fract_x
_atom_site_fract_y
_atom_site_fract_z
Sc1 0.3798 0.3798 0.8605
Sc2 0.3798 0.8605 0.3798
Sc3 0.3798 0.3798 0.3798
Sc4 0.8605 0.3798 0.3798
Ba1 0.0000 0.0000 0.0000
Ta1 0.7500 0.7500 0.7500
```

Properties
As for the spin magnetization: 1.99 μB/f.u. The calculation puts the volume at 26.68 Å³/atom. Its density of states at the Fermi level is 1.642 states/eV per atom. The formation energy from the elements comes out at 713.6 meV per atom. The total DFT energy (no corrections) is -34.8 eV per cell.



# Yb2ZnIr

An optimized crystal structure of Yb2ZnIr (GGA-PBE, Alexandria).

```
data_Yb2ZnIr
_space_group_name_H-M_alt 'P 1'
_space_group_IT_number 1
_space_group_name_Hall 'P 1'
_cell_length_a 4.8629
_cell_length_b 4.8629
_cell_length_c 4.8629
_cell_angle_alpha 60.00
_cell_angle_beta 60.00
_cell_angle_gamma 60.00
loop_
_atom_site_label
_atom_site_fract_x
_atom_site_fract_y
_atom_site_fract_z
Yb1 0.0000 0.0000 0.0000
Yb2 0.5000 0.5000 0.5000
Zn1 0.7500 0.7500 0.7500
Ir1 0.2500 0.2500 0.2500
```

Properties
As for the spin magnetization: 0.00 μB/f.u. The calculation puts the volume at 20.33 Å³/atom. Its density of states at the Fermi level is 0.529 states/eV per atom. The formation energy from the elements comes out at -426.9 meV per atom. The total DFT energy (no corrections) is -14.9 eV per cell.



# Cd2AgPbS4

An optimized crystal structure of Cd2AgPbS4 (GGA-PBE, Alexandria).

```
data_Cd2AgPbS4
_space_group_name_H-M_alt 'P 1'
_space_group_IT_number 1
_space_group_name_Hall 'P 1'
_cell_length_a 5.9944
_cell_length_b 5.9944
_cell_length_c 7.3918
_cell_angle_alpha 113.92
_cell_angle_beta 113.92
_cell_angle_gamma 90.00
loop_
_atom_site_label
_atom_site_fract_x
_atom_site_fract_y
_atom_site_fract_z
Cd1 0.2500 0.7500 0.5001
Cd2 0.7500 0.2500 0.5001
Pb1 0.5002 0.5002 0.0003
S1 0.8920 0.3667 0.2587
S2 0.6332 0.6332 0.7415
S3 0.3667 0.8920 0.2587
S4 0.1083 0.1083 0.7414
Ag1 0.9999 0.9999 0.9997
```

Properties
As for the spin magnetization: 0.00 μB/f.u. The calculation puts the volume at 27.20 Å³/atom. Its uncorrected formation energy is -373.1 meV/atom. Its density of states at the Fermi level is 0.580 states/eV per atom. The total DFT energy (no corrections) is -27.9 eV per cell.



# Pm8Te4As3H

An optimized crystal structure of Pm8Te4As3H (GGA-PBE, Alexandria).

```
data_Pm8Te4As3H
_space_group_name_H-M_alt 'P 1'
_space_group_IT_number 1
_space_group_name_Hall 'P 1'
_cell_length_a 8.5302
_cell_length_b 8.7367
_cell_length_c 8.5304
_cell_angle_alpha 119.22
_cell_angle_beta 120.00
_cell_angle_gamma 90.00
loop_
_atom_site_label
_atom_site_fract_x
_atom_site_fract_y
_atom_site_fract_z
Pm1 0.7393 0.7180 0.4787
Pm2 0.7578 0.2779 0.0201
Pm3 0.7578 0.2779 0.5156
Pm4 0.2422 0.7221 0.9799
Pm5 0.7378 0.7221 0.9799
Pm6 0.2622 0.2779 0.0201
Pm7 0.2422 0.7221 0.4844
Pm8 0.2607 0.2820 0.5213
Te1 0.5000 0.0000 0.0000
Te2 0.0000 0.0000 0.0000
Te3 0.0000 0.0000 0.5000
Te4 0.5000 0.0000 0.5000
As1 0.0000 0.5000 0.5000
As2 0.5000 0.5000 0.0000
As3 0.5000 0.5000 0.5000
H1 0.0000 0.5000 0.0000
```

Properties
As for the spin magnetization: 0.00 μB/f.u. The calculation puts the volume at 28.42 Å³/atom. Its density of states at the Fermi level is 0.506 states/eV per atom. The total DFT energy (no corrections) is -89.0 eV per cell.



# CdP2

An optimized crystal structure of CdP2 (GGA-PBE, Alexandria).

```
data_CdP2
_space_group_name_H-M_alt 'P 1'
_space_group_IT_number 1
_space_group_name_Hall 'P 1'
_cell_length_a 3.8767
_cell_length_b 5.3093
_cell_length_c 6.4847
_cell_angle_alpha 90.00
_cell_angle_beta 90.00
_cell_angle_gamma 90.00
loop_
_atom_site_label
_atom_site_fract_x
_atom_site_fract_y
_atom_site_fract_z
Cd1 0.5000 0.5000 0.5000
Cd2 0.0000 0.0000 0.0000
P1 0.0000 0.8532 0.3989
P2 0.5000 0.3532 0.1011
P3 0.5000 0.6468 0.8989
P4 0.0000 0.1468 0.6011
```

Properties
As for the spin magnetization: 0.00 μB/f.u. The calculation puts the volume at 22.25 Å³/atom. Its density of states at the Fermi level is 0.504 states/eV per atom. The formation energy from the elements comes out at 176.9 meV per atom. The total DFT energy (no corrections) is -22.4 eV per cell.



# Mn2AgOs

An optimized crystal structure of Mn2AgOs (GGA-PBE, Alexandria).

```
data_Mn2AgOs
_space_group_name_H-M_alt 'P 1'
_space_group_IT_number 1
_space_group_name_Hall 'P 1'
_cell_length_a 4.5367
_cell_length_b 4.5363
_cell_length_c 2.8849
_cell_angle_alpha 90.00
_cell_angle_beta 90.00
_cell_angle_gamma 90.00
loop_
_atom_site_label
_atom_site_fract_x
_atom_site_fract_y
_atom_site_fract_z
Mn1 0.5000 0.5000 0.0000
Mn2 0.0000 0.0000 0.0000
Os1 0.5000 0.0000 0.5000
Ag1 0.0000 0.5000 0.5000
```

Properties
As for the spin magnetization: 7.10 μB/f.u. The calculation puts the volume at 14.84 Å³/atom. Its density of states at the Fermi level is 0.899 states/eV per atom. The formation energy from the elements comes out at 367.6 meV per atom. The total DFT energy (no corrections) is -30.9 eV per cell.



# TiAgSe2

An optimized crystal structure of TiAgSe2 (GGA-PBE, Alexandria).

```
data_TiAgSe2
_space_group_name_H-M_alt 'P 1'
_space_group_IT_number 1
_space_group_name_Hall 'P 1'
_cell_length_a 3.5475
_cell_length_b 8.0404
_cell_length_c 7.2729
_cell_angle_alpha 97.58
_cell_angle_beta 90.00
_cell_angle_gamma 102.74
loop_
_atom_site_label
_atom_site_fract_x
_atom_site_fract_y
_atom_site_fract_z
Se1 0.5655 0.1310 0.7693
Se2 0.3105 0.6210 0.8081
Se3 0.4345 0.8690 0.2307
Se4 0.6895 0.3790 0.1919
Ti1 0.1652 0.3304 0.9260
Ti2 0.8348 0.6696 0.0740
Ag1 0.3228 0.6455 0.4553
Ag2 0.6772 0.3545 0.5447
```

Properties
As for the spin magnetization: 0.99 μB/f.u. The calculation puts the volume at 25.06 Å³/atom. Its uncorrected formation energy is -635.4 meV/atom. Its density of states at the Fermi level is 0.198 states/eV per atom. The total DFT energy (no corrections) is -40.5 eV per cell.